Entry 1:
First-principles (PBE) data for an optimized crystal structure of BaNdNiS4, as listed in Alexandria via LeMat-Bulk.

Geometry as CIF:
```
data_BaNdNiS4
_chemical_formula_sum 'Ba2 Nd2 Ni2 S8'
_space_group_name_H-M_alt 'P 1'
_space_group_IT_number 1
_cell_length_a 6.4151
_cell_length_b 6.5660
_cell_length_c 8.0729
_cell_angle_alpha 90.00
_cell_angle_beta 113.41
_cell_angle_gamma 90.00
loop_
_space_group_symop_operation_xyz
'x,y,z'
loop_
_atom_site_label
_atom_site_fract_x
_atom_site_fract_y
_atom_site_fract_z
_atom_site_occupancy
Ba1 0.6036 0.7500 0.2071 1
Ba2 0.3964 0.2500 0.7929 1
Nd1 0.1223 0.2500 0.2446 1
Nd2 0.8777 0.7500 0.7554 1
Ni1 0.2477 0.7500 0.4955 1
Ni2 0.7523 0.2500 0.5045 1
S1 0.9291 0.2500 0.8582 1
S2 0.3996 0.7500 0.7992 1
S3 0.0709 0.7500 0.1418 1
S4 0.6004 0.2500 0.2008 1
S5 0.5000 0.5000 0.5000 1
S6 0.0000 0.0000 0.5000 1
S7 0.5000 0.0000 0.5000 1
S8 0.0000 0.5000 0.5000 1
```

Computed properties:
The uncorrected formation energy is -1.3047 eV per atom. Its space-group type is Cmcm (63). Its size of the total moment is 0.000 μB per formula unit.

Entry 2:
First-principles (PBE) data for an optimized crystal structure of Ba2NdNpO6, as listed in Alexandria via LeMat-Bulk.

Geometry as CIF:
```
data_Ba2NdNpO6
_chemical_formula_sum 'Ba4 Nd2 Np2 O12'
_space_group_name_H-M_alt 'P 1'
_space_group_IT_number 1
_cell_length_a 6.2814
_cell_length_b 6.2893
_cell_length_c 8.8626
_cell_angle_alpha 90.00
_cell_angle_beta 90.23
_cell_angle_gamma 90.00
loop_
_space_group_symop_operation_xyz
'x,y,z'
loop_
_atom_site_label
_atom_site_fract_x
_atom_site_fract_y
_atom_site_fract_z
_atom_site_occupancy
Ba1 0.0071 0.9756 0.2498 1
Ba2 0.5071 0.5244 0.7498 1
Ba3 0.9929 0.0244 0.7502 1
Ba4 0.4929 0.4756 0.2502 1
Nd1 0.5000 0.0000 0.0000 1
Nd2 0.0000 0.5000 0.5000 1
Np1 0.5000 0.0000 0.5000 1
Np2 0.0000 0.5000 0.0000 1
O1 0.2652 0.7094 0.0398 1
O2 0.7652 0.7906 0.5398 1
O3 0.7348 0.2906 0.9602 1
O4 0.2348 0.2094 0.4602 1
O5 0.2912 0.7322 0.4569 1
O6 0.7912 0.7678 0.9569 1
O7 0.7088 0.2678 0.5431 1
O8 0.2088 0.2322 0.0431 1
O9 0.9234 0.5185 0.2372 1
O10 0.4234 0.9815 0.7372 1
O11 0.0766 0.4815 0.7628 1
O12 0.5766 0.0185 0.2628 1
```

Computed properties:
The uncorrected formation energy is -3.0531 eV per atom. Its space-group type is P2_1/c (14). Its size of the total moment is 2.000 μB per formula unit.

Entry 3:
First-principles (PBE) data for an optimized crystal structure of Ba2NdNpS6, as listed in Alexandria via LeMat-Bulk.

Geometry as CIF:
```
data_Ba2NdNpS6
_chemical_formula_sum 'Ba4 Nd2 Np2 S12'
_space_group_name_H-M_alt 'P 1'
_space_group_IT_number 1
_cell_length_a 7.2666
_cell_length_b 7.5698
_cell_length_c 10.4443
_cell_angle_alpha 90.00
_cell_angle_beta 90.21
_cell_angle_gamma 90.00
loop_
_space_group_symop_operation_xyz
'x,y,z'
loop_
_atom_site_label
_atom_site_fract_x
_atom_site_fract_y
_atom_site_fract_z
_atom_site_occupancy
Ba1 0.0179 0.9365 0.2501 1
Ba2 0.5179 0.5635 0.7501 1
Ba3 0.9821 0.0635 0.7499 1
Ba4 0.4821 0.4365 0.2499 1
Nd1 0.5000 0.0000 0.0000 1
Nd2 0.0000 0.5000 0.5000 1
Np1 0.5000 0.0000 0.5000 1
Np2 0.0000 0.5000 0.0000 1
S1 0.2882 0.6941 0.0465 1
S2 0.7882 0.8059 0.5465 1
S3 0.7118 0.3059 0.9535 1
S4 0.2118 0.1941 0.4535 1
S5 0.3086 0.7130 0.4508 1
S6 0.8086 0.7870 0.9508 1
S7 0.6914 0.2870 0.5492 1
S8 0.1914 0.2130 0.0492 1
S9 0.9098 0.5242 0.2400 1
S10 0.4098 0.9758 0.7400 1
S11 0.0902 0.4758 0.7600 1
S12 0.5902 0.0242 0.2600 1
```

Computed properties:
The uncorrected formation energy is -1.7686 eV per atom. Its space-group type is P2_1/c (14). Its size of the total moment is 2.000 μB per formula unit.

Entry 4:
First-principles (PBE) data for an optimized crystal structure of Ba2NdNpSe6, as listed in Alexandria via LeMat-Bulk.

Geometry as CIF:
```
data_Ba2NdNpSe6
_chemical_formula_sum 'Ba4 Nd2 Np2 Se12'
_space_group_name_H-M_alt 'P 1'
_space_group_IT_number 1
_cell_length_a 7.4982
_cell_length_b 7.9621
_cell_length_c 10.9007
_cell_angle_alpha 90.00
_cell_angle_beta 90.20
_cell_angle_gamma 90.00
loop_
_space_group_symop_operation_xyz
'x,y,z'
loop_
_atom_site_label
_atom_site_fract_x
_atom_site_fract_y
_atom_site_fract_z
_atom_site_occupancy
Ba1 0.0237 0.9241 0.2499 1
Ba2 0.5237 0.5759 0.7499 1
Ba3 0.9763 0.0759 0.7501 1
Ba4 0.4763 0.4241 0.2501 1
Nd1 0.5000 0.0000 0.0000 1
Nd2 0.0000 0.5000 0.5000 1
Np1 0.5000 0.0000 0.5000 1
Np2 0.0000 0.5000 0.0000 1
Se1 0.2970 0.6899 0.0492 1
Se2 0.7970 0.8101 0.5492 1
Se3 0.7030 0.3101 0.9508 1
Se4 0.2030 0.1899 0.4508 1
Se5 0.3150 0.7067 0.4489 1
Se6 0.8150 0.7933 0.9489 1
Se7 0.6850 0.2933 0.5511 1
Se8 0.1850 0.2067 0.0511 1
Se9 0.9042 0.5226 0.2413 1
Se10 0.4042 0.9774 0.7413 1
Se11 0.0958 0.4774 0.7587 1
Se12 0.5958 0.0226 0.2587 1
```

Computed properties:
The uncorrected formation energy is -1.6208 eV per atom. Its space-group type is P2_1/c (14). Its size of the total moment is 2.000 μB per formula unit.

Entry 5:
First-principles (PBE) data for an optimized crystal structure of BaNdO, as listed in Alexandria via LeMat-Bulk.

Geometry as CIF:
```
data_BaNdO
_chemical_formula_sum 'Ba2 Nd2 O2'
_space_group_name_H-M_alt 'P 1'
_space_group_IT_number 1
_cell_length_a 3.5940
_cell_length_b 3.9900
_cell_length_c 13.9240
_cell_angle_alpha 90.00
_cell_angle_beta 90.00
_cell_angle_gamma 116.77
loop_
_space_group_symop_operation_xyz
'x,y,z'
loop_
_atom_site_label
_atom_site_fract_x
_atom_site_fract_y
_atom_site_fract_z
_atom_site_occupancy
O1 0.4824 0.9647 0.0000 1
O2 0.3157 0.6314 0.5000 1
Nd1 0.8113 0.6227 0.3808 1
Nd2 0.8113 0.6227 0.6192 1
Ba1 0.1229 0.2458 0.8769 1
Ba2 0.1229 0.2458 0.1231 1
```

Computed properties:
Its excess energy over the best structure of this formula in the dataset is 0.212 eV per atom. The uncorrected formation energy is -1.3333 eV per atom. Its space-group type is Amm2 (38). Its size of the total moment is 0.472 μB per formula unit.

Entry 6:
First-principles (PBE) data for an optimized crystal structure of BaNdO, as listed in Alexandria via LeMat-Bulk.

Geometry as CIF:
```
data_BaNdO
_chemical_formula_sum 'Ba1 Nd1 O1'
_space_group_name_H-M_alt 'P 1'
_space_group_IT_number 1
_cell_length_a 3.9967
_cell_length_b 3.9967
_cell_length_c 7.4690
_cell_angle_alpha 90.00
_cell_angle_beta 90.00
_cell_angle_gamma 120.00
loop_
_space_group_symop_operation_xyz
'x,y,z'
loop_
_atom_site_label
_atom_site_fract_x
_atom_site_fract_y
_atom_site_fract_z
_atom_site_occupancy
Nd1 0.6667 0.3333 0.5009 1
Ba1 0.0000 0.0000 0.0017 1
O1 0.3333 0.6667 0.4975 1
```

Computed properties:
Its excess energy over the best structure of this formula in the dataset is 0.000 eV per atom. The uncorrected formation energy is -1.5457 eV per atom. Its space-group type is P3m1 (156). Its size of the total moment is 0.000 μB per formula unit.

Entry 7:
First-principles (PBE) data for an optimized crystal structure of BaNd2O, as listed in Alexandria via LeMat-Bulk.

Geometry as CIF:
```
data_BaNd2O
_chemical_formula_sum 'Ba1 Nd2 O1'
_space_group_name_H-M_alt 'P 1'
_space_group_IT_number 1
_cell_length_a 3.7554
_cell_length_b 3.7554
_cell_length_c 10.1760
_cell_angle_alpha 79.37
_cell_angle_beta 79.37
_cell_angle_gamma 60.00
loop_
_space_group_symop_operation_xyz
'x,y,z'
loop_
_atom_site_label
_atom_site_fract_x
_atom_site_fract_y
_atom_site_fract_z
_atom_site_occupancy
Nd1 0.1225 0.1225 0.6326 1
Nd2 0.8775 0.8775 0.3674 1
Ba1 0.0000 0.0000 0.0000 1
O1 0.5000 0.5000 0.5000 1
```

Computed properties:
The uncorrected formation energy is -1.1229 eV per atom. Its space-group type is R-3m (166). Its size of the total moment is 0.000 μB per formula unit.

Entry 8:
First-principles (PBE) data for an optimized crystal structure of Ba4NdO5, as listed in Alexandria via LeMat-Bulk.

Geometry as CIF:
```
data_Ba4NdO5
_chemical_formula_sum 'Ba4 Nd1 O5'
_space_group_name_H-M_alt 'P 1'
_space_group_IT_number 1
_cell_length_a 5.5425
_cell_length_b 6.7277
_cell_length_c 6.7277
_cell_angle_alpha 80.23
_cell_angle_beta 65.67
_cell_angle_gamma 65.67
loop_
_space_group_symop_operation_xyz
'x,y,z'
loop_
_atom_site_label
_atom_site_fract_x
_atom_site_fract_y
_atom_site_fract_z
_atom_site_occupancy
Ba1 0.4009 0.4032 0.8023 1
Ba2 0.8041 0.8023 0.5968 1
Ba3 0.2032 0.1977 0.4032 1
Ba4 0.6064 0.5968 0.1977 1
Nd1 0.0300 0.0000 0.0000 1
O1 0.9129 0.3582 0.8232 1
O2 0.2712 0.8232 0.6418 1
O3 0.7361 0.1768 0.3582 1
O4 0.0944 0.6418 0.1768 1
O5 0.4511 0.0000 0.0000 1
```

Computed properties:
The uncorrected formation energy is -2.5336 eV per atom. Its space-group type is I4 (79). Its size of the total moment is 0.000 μB per formula unit.